(1)
Material: KAs2PbO
Method: DFT, GGA-PBE
State: relaxed

Lattice parameters (Å, degrees): 4.8450 4.8450 5.1347 90.00 90.00 90.00
Space group P4/mmm (No. 123)
Unique sites:
1 K 0.0000 0.0000 0.0000 x1
2 As 0.0000 0.5000 0.5000 x2
3 Pb 0.5000 0.5000 0.0000 x1
4 O 0.5000 0.5000 0.5000 x1

## Properties
The value obtained for the theoretical density is 5.68 g/cm3. The calculation puts the uncorrected energy at -3.814 eV/atom. Its total magnetic moment is 0.000 μB per atom. For the density of states at the Fermi level, the calculation gives 2.806 states/eV/f.u.



(2)
Material: Ce3NiRu2
Method: DFT, GGA-PBE
State: relaxed

Lattice parameters (Å, degrees): 7.8296 9.7955 6.6678 90.00 111.57 90.00
Space group C2/c (No. 15)
Unique sites:
1 Ce 0.0000 0.1011 0.2500 x4
2 Ce 0.1889 0.4107 0.9833 x8
3 Ni 0.0000 0.3716 0.2500 x4
4 Ru 0.1373 0.2100 0.6366 x8

## Properties
The formation enthalpy at 0 K is -0.241 eV per atom. The value obtained for the theoretical density is 9.51 g/cm3. Its total magnetic moment is 0.000 μB per atom. For the density of states at the Fermi level, the calculation gives 10.023 states/eV/f.u.



Question: The lowest theoretical density belongs to which entry?
Answer: KAs2PbO



Question: What is the formula in the first record?
Answer: KAs2PbO